Version a
AlTlMo2 PBEsol optimized geometry; density = 10.66 g/cm3; N(E_F) = 3.62 states/eV per cell; crystal system = cubic
1.0
4.5348 0.0000 0.0000
2.2674 3.9272 0.0000
2.2674 1.3091 3.7026
Tl Mo Al
1 2 1
direct
0.5000 0.5000 0.5000
0.7500 0.7500 0.7500
0.2500 0.2500 0.2500
0.0000 0.0000 0.0000


Version b
AlTlMo2 PBEsol optimized geometry; density = 10.47 g/cm3; N(E_F) = 2.88 states/eV per cell; crystal system = orthorhombic
1.0
2.8172 0.0086 0.0000
-0.8257 2.6935 0.0000
0.0000 0.0000 8.8352
Tl Mo Al
1 2 1
direct
0.5000 0.5000 0.5000
0.0000 0.0000 0.2325
0.0000 0.0000 0.7675
0.5000 0.5000 0.0000


Of them, the most stable is version b and the least stable is version a.


Version a
AlTlMo2 PBEsol optimized geometry; density = 10.55 g/cm3; N(E_F) = 2.70 states/eV per cell; crystal system = orthorhombic
1.0
3.3293 0.0000 0.0000
0.0000 4.4555 0.0000
0.0000 0.0000 4.4926
Tl Mo Al
1 2 1
direct
0.5000 0.5000 0.0000
0.0000 0.0000 0.0000
0.5000 0.0000 0.5000
0.0000 0.5000 0.5000


Version b
AlTlMo2 PBEsol optimized geometry; density = 10.24 g/cm3; N(E_F) = 2.62 states/eV per cell; crystal system = monoclinic
1.0
2.8413 0.0000 -0.0009
0.0000 4.4399 0.0000
-0.9633 0.0000 5.4405
Tl Mo Al
1 2 1
direct
0.5000 0.5000 0.0000
0.7039 0.0000 0.7138
0.2961 0.0000 0.2862
0.0000 0.5000 0.5000


Of them, the most stable is version b and the least stable is version a.